[1]
Here is a relaxed structure of PuZrNiIr from the Alexandria database. Energies are from GGA-PBE.

Calculated values
Size of the total moment in μB/f.u.: 5.38
ΔH_f (0 K) in meV per atom: -362
Calculated density in g cm⁻³: 13.09

Cell and atoms, written as extended XYZ:
```
4
Lattice="4.7205 0.0000 0.0000 2.3602 4.0881 0.0000 2.3602 1.3627 3.8543" Properties=species:S:1:pos:R:3 pbc="T T T"
Ni 0.0000 0.0000 0.0000
Ir 4.7205 2.7254 1.9271
Zr 2.3602 1.3627 0.9636
Pu 7.0807 4.0881 2.8907
```

[2]
Here is a relaxed structure of PmHo2TmTh from the Alexandria database. Energies are from GGA-PBE.

Calculated values
Size of the total moment in μB/f.u.: 0.00
ΔH_f (0 K) in meV per atom: 333
Calculated density in g cm⁻³: 8.50

Cell and atoms, written as extended XYZ:
```
10
Lattice="5.5987 0.0000 0.0000 0.0000 8.5378 1.4568 0.0000 -1.1891 6.9580" Properties=species:S:1:pos:R:3 pbc="T T T"
Pm 0.0000 0.0000 0.0000
Pm 0.0000 -0.5945 3.4790
Ho 2.8019 4.6001 7.9445
Ho 2.8019 2.1541 3.9492
Ho 2.7968 5.1946 4.4656
Ho 2.7968 2.7487 0.4702
Tm 5.5984 3.3771 5.9469
Tm 0.0003 3.9716 2.4679
Th 2.7996 -0.2973 1.7395
Th 2.7991 -0.8918 5.2185
```

[3]
Here is a relaxed structure of Li2Zr2MnS6 from the Alexandria database. Energies are from GGA-PBE.

Calculated values
Size of the total moment in μB/f.u.: 5.01
Raw formation energy in kJ/mol of formula units: -1398.6
Calculated density in g cm⁻³: 3.39

Cell and atoms, written as extended XYZ:
```
11
Lattice="6.4049 -0.0657 0.0712 -3.2228 5.5355 0.0712 -1.1166 -1.9193 6.1145" Properties=species:S:1:pos:R:3 pbc="T T T"
Li 4.7854 0.8765 0.0712
Li -1.6032 4.5932 0.0712
Zr -0.5581 2.7008 3.1285
Zr 2.6237 0.8497 3.1285
Mn -0.5583 -0.9597 3.0573
S 1.5670 2.6935 4.6044
S -1.6879 0.8773 4.5522
S 0.4985 0.8569 1.6525
S 1.5969 -1.0337 4.5522
S 3.7534 2.6731 1.7048
S 0.4686 4.5841 1.7048
```

[4]
Here is a relaxed structure of NaHgI3 from the Alexandria database. Energies are from GGA-PBE.

Calculated values
Size of the total moment in μB/f.u.: 0.00
Raw formation energy in kJ/mol of formula units: -319.2
Calculated density in g cm⁻³: 4.74
E above lowest polymorph in eV per atom: 0.000

Cell and atoms, written as extended XYZ:
```
20
Lattice="-2.5882 -0.1166 -7.7144 -7.9635 -6.4802 1.1133 -7.0714 7.5022 0.6026" Properties=species:S:1:pos:R:3 pbc="T T T"
Na -9.2544 3.6243 -5.0447
Na -7.8061 6.0995 -1.2758
Na -9.8171 -5.1942 -4.7227
Na -8.3688 -2.7189 -0.9537
Hg -6.6337 -1.0797 -5.4586
Hg -5.1741 1.5718 -1.6961
Hg -12.4490 -0.6664 -4.3024
Hg -10.9895 1.9851 -0.5399
I -7.0043 1.3944 -3.9878
I -15.0979 -0.3634 -3.3229
I -5.8489 -0.7218 -0.0512
I -11.7742 1.6272 -5.9473
I -11.9843 -3.0541 -5.6807
I -13.6508 2.0927 0.4467
I -10.6189 -0.4890 -2.0106
I -3.9724 -1.1873 -6.4452
I -2.5253 1.2688 -2.6755
I -10.2318 4.1879 -2.0859
I -5.6389 3.9595 -0.3177
I -7.3914 -3.2826 -3.9125
```

[5]
Here is a relaxed structure of NiHg2 from the Alexandria database. Energies are from GGA-PBE.

Calculated values
Size of the total moment in μB/f.u.: 0.00
ΔH_f (0 K) in meV per atom: 356
Calculated density in g cm⁻³: 13.71

Cell and atoms, written as extended XYZ:
```
6
Lattice="-3.9479 -2.8346 -2.5544 -3.0188 -3.7824 2.5936 -5.3232 0.7707 1.1026" Properties=species:S:1:pos:R:3 pbc="T T T"
Ni -10.2053 -4.8546 0.9481
Ni -2.0847 -0.9917 0.1937
Hg -4.8835 -0.3820 -0.0666
Hg -3.6509 -3.1376 -0.9085
Hg -3.7556 -2.3267 2.1169
Hg -6.1450 -2.9232 0.5709
```

[6]
Here is a relaxed structure of In2HgCl from the Alexandria database. Energies are from GGA-PBE.

Calculated values
Size of the total moment in μB/f.u.: 0.00
Raw formation energy in kJ/mol of formula units: -116.3
Calculated density in g cm⁻³: 7.09
E above lowest polymorph in eV per atom: 0.070

Cell and atoms, written as extended XYZ:
```
4
Lattice="3.5859 0.0000 0.0000 1.7930 3.1055 0.0000 1.7930 1.0352 9.7995" Properties=species:S:1:pos:R:3 pbc="T T T"
In 1.7930 1.0352 7.5479
In 1.7930 1.0352 2.2713
Hg 3.5859 2.0703 4.9290
Cl 5.3789 3.1055 9.7503
```

[7]
Here is a relaxed structure of AcGa3Ge2 from the Alexandria database. Energies are from GGA-PBE.

Calculated values
Size of the total moment in μB/f.u.: 0.00
ΔH_f (0 K) in meV per atom: -336
Calculated density in g cm⁻³: 7.16

Cell and atoms, written as extended XYZ:
```
12
Lattice="4.7494 0.0000 0.0000 -2.3747 8.0136 -0.7425 0.0000 -4.2880 7.4790" Properties=species:S:1:pos:R:3 pbc="T T T"
Ac 2.3747 1.6172 6.3587
Ac 0.0000 2.1084 0.3777
Ga 0.0000 1.9383 3.8586
Ga 2.3747 4.5344 4.1104
Ga 2.3747 -1.5770 4.9252
Ga 0.0000 5.3026 1.8112
Ga 0.0000 -0.8088 2.6260
Ga 2.3747 1.7872 2.8778
Ge 0.0000 4.0567 5.4660
Ge 2.3747 -0.3311 1.2704
Ge 2.3747 4.1236 1.5610
Ge 0.0000 -0.3981 5.1754
```

[8]
Here is a relaxed structure of RhIF2 from the Alexandria database. Energies are from GGA-PBE.

Calculated values
Size of the total moment in μB/f.u.: 0.97
Raw formation energy in kJ/mol of formula units: -241.1
Calculated density in g cm⁻³: 4.75
E above lowest polymorph in eV per atom: 0.000

Cell and atoms, written as extended XYZ:
```
4
Lattice="1.9643 0.0000 9.3463 -0.9821 1.7011 9.3463 -0.9821 -1.7011 9.3463" Properties=species:S:1:pos:R:3 pbc="T T T"
I 0.0000 0.0000 0.0000
Rh 0.0000 0.0000 14.0195
F 0.0000 0.0000 24.2788
F 0.0000 0.0000 3.7602
```

[9]
Here is a relaxed structure of MgTiCrS4 from the Alexandria database. Energies are from GGA-PBE.

Calculated values
Size of the total moment in μB/f.u.: 3.96
Raw formation energy in kJ/mol of formula units: -748.1
Calculated density in g cm⁻³: 3.07

Cell and atoms, written as extended XYZ:
```
14
Lattice="7.1896 0.0027 0.0018 3.5929 6.3448 0.0096 3.5931 2.0656 5.9992" Properties=species:S:1:pos:R:3 pbc="T T T"
Mg 12.5787 7.3707 5.2660
Mg 1.7970 1.0424 0.7447
Ti 7.1877 4.2065 3.0052
Ti 3.5929 4.2050 3.0043
Cr 8.9844 5.2393 6.0048
Cr 8.9843 7.3790 3.0103
S 10.5968 6.2177 4.4422
S 5.3904 3.0954 4.3092
S 5.3903 5.0799 1.5314
S 7.0037 2.1964 1.5691
S 8.9851 3.3332 4.4791
S 7.3721 6.2167 4.4415
S 3.7791 2.1951 1.5684
S 8.9851 5.3179 1.7014
```

[10]
Here is a relaxed structure of Ho3InNi8 from the Alexandria database. Energies are from GGA-PBE.

Calculated values
Size of the total moment in μB/f.u.: 0.00
ΔH_f (0 K) in meV per atom: -433
Calculated density in g cm⁻³: 10.02

Cell and atoms, written as extended XYZ:
```
12
Lattice="5.0109 0.0000 0.0000 2.5054 4.3395 0.0000 2.5054 1.4465 8.2268" Properties=species:S:1:pos:R:3 pbc="T T T"
Ho 5.0109 2.8930 7.1655
Ho 7.5163 4.3395 0.1066
Ho 5.0109 2.8930 4.0241
In 7.5163 4.3395 3.1365
Ni 6.2711 2.1655 1.5384
Ni 6.2661 5.0613 5.6545
Ni 3.7507 2.1655 1.5384
Ni 8.7665 5.0613 5.6545
Ni 2.5054 1.4465 3.5916
Ni 7.5163 4.3396 7.7015
Ni 5.0109 4.3482 1.5384
Ni 7.5163 2.8960 5.6545
```

> The highest size of the total moment belongs to which entry?

PuZrNiIr